# 1
Below is YInHg after structural relaxation, with properties calculated at the PBE level.

DFT formation energy = -0.34 eV per atom
ρ = 8.808 g/cm3
total DFT energy (no corrections) = -10.53 eV per formula unit
total magnetization = 0.36 μB/f.u.

Structure (extended XYZ):
```
6
Lattice="3.5521 0.0000 0.0000 0.0000 3.5521 0.0000 0.0000 0.0000 12.0827" Properties=species:S:1:pos:R:3 pbc="T T T"
Y 0.0000 0.0000 0.0000
Y 1.7760 1.7760 6.0414
In 0.0000 0.0000 3.8772
In 1.7760 1.7760 9.9186
Hg 0.0000 0.0000 7.9892
Hg 1.7760 1.7760 1.9478
```

***

# 2
Below is Y2In3Hg2 after structural relaxation, with properties calculated at the PBE level.

DFT formation energy = -0.35 eV per atom
ρ = 8.564 g/cm3
total DFT energy (no corrections) = -24.19 eV per formula unit
total magnetization = 0.00 μB/f.u.

Structure (extended XYZ):
```
14
Lattice="11.1523 0.0000 0.0000 0.0000 4.6116 0.0000 -0.8437 0.0000 6.9632" Properties=species:S:1:pos:R:3 pbc="T T T"
Y 0.9138 0.0000 2.1502
Y 3.8186 2.3058 4.8130
Y 6.4899 2.3058 2.1502
Y 9.3948 0.0000 4.8130
In 0.0000 2.3058 0.0000
In 1.5503 0.0000 5.9457
In 3.1821 2.3058 1.0176
In 5.5761 0.0000 0.0000
In 7.1264 2.3058 5.9457
In 8.7583 0.0000 1.0176
Hg 0.7589 2.3058 4.3063
Hg 3.9735 0.0000 2.6570
Hg 6.3350 0.0000 4.3063
Hg 9.5497 2.3058 2.6570
```

***

# 3
Below is YIn2Hg after structural relaxation, with properties calculated at the PBE level.

DFT formation energy = -0.21 eV per atom
ρ = 8.306 g/cm3
total DFT energy (no corrections) = -13.08 eV per formula unit
total magnetization = 0.00 μB/f.u.

Structure (extended XYZ):
```
4
Lattice="3.8706 0.0000 0.0000 0.0000 3.8706 0.0000 0.0000 0.0000 6.9280" Properties=species:S:1:pos:R:3 pbc="T T T"
Y 0.0000 0.0000 0.0000
In 1.9353 1.9353 1.8579
In 1.9353 1.9353 5.0701
Hg 0.0000 0.0000 3.4640
```